Entry 1:
A plane-wave DFT calculation with PBE was carried out for a geometry-optimized AcNd2YAs4 structure. Values from VASP.

Geometry as Quantum ESPRESSO input:
```
&SYSTEM
  ibrav = 0, nat = 8, ntyp = 4
/
ATOMIC_SPECIES
Ac 227.00 Ac.upf
Y 88.91 Y.upf
As 74.92 As.upf
Nd 144.24 Nd.upf
CELL_PARAMETERS angstrom
-0.0749 1.6428 3.9883
-6.6007 -3.2717 1.2237
1.1030 -6.8195 2.8298
ATOMIC_POSITIONS crystal
Ac 0.5000 0.5000 0.0000
Y 0.0000 0.5000 0.5000
As 0.0000 0.7565 0.7376
As 0.5000 0.2510 0.7400
As 0.0000 0.2435 0.2624
Nd 0.0000 0.0000 0.0000
As 0.5000 0.7490 0.2600
Nd 0.5000 0.0000 0.5000
```

Computed properties:
As for the calculated formation energy: -1.4783 eV/atom.


Entry 2:
A plane-wave DFT calculation with PBE was carried out for a geometry-optimized AcNiAs structure. Values from VASP.

Geometry as Quantum ESPRESSO input:
```
&SYSTEM
  ibrav = 0, nat = 6, ntyp = 3
/
ATOMIC_SPECIES
As 74.92 As.upf
Ac 227.00 Ac.upf
Ni 58.69 Ni.upf
CELL_PARAMETERS angstrom
-1.9087 -3.3417 -1.7168
3.7451 2.6757 -4.2036
4.6240 -1.6777 3.3026
ATOMIC_POSITIONS crystal
As 0.5692 0.7736 0.3644
Ac 0.7535 0.2992 0.2078
Ni 0.9266 0.0906 0.7626
Ni 0.0734 0.9094 0.2374
As 0.4308 0.2264 0.6356
Ac 0.2465 0.7008 0.7922
```

Computed properties:
As for the calculated formation energy: -0.7696 eV/atom. The energy above the most stable polymorph in this dataset comes out at 20.8 kJ per mole of atoms.


| no. | total energy (eV per atom) |
| --- | --- |
| 1 | -6.3166 |
| 2 | -5.6161 |